Entry from Alexandria via LeMat-Bulk: crystalline AsPPt2W at its relaxed geometry (GGA-PBE).

The structure in CIF format:
```
data_AsPPt2W
_chemical_formula_sum 'As1 P1 Pt2 W1'
_symmetry_space_group_name_H-M 'P 1'
_symmetry_Int_Tables_number 1
_cell_length_a 4.492
_cell_length_b 4.545
_cell_length_c 4.492
_cell_angle_alpha 90.00
_cell_angle_beta 90.00
_cell_angle_gamma 90.00
loop_
_symmetry_equiv_pos_as_xyz
'x,y,z'
loop_
_atom_site_label
_atom_site_type_symbol
_atom_site_fract_x
_atom_site_fract_y
_atom_site_fract_z
P1 P 0.000 0.000 0.000
As1 As 0.500 0.500 0.500
W1 W 0.000 0.500 0.000
Pt1 Pt 0.000 0.000 0.500
Pt2 Pt 0.500 0.000 0.000
```

Properties
SG: P4/mmm
Calculated formation energy in meV per atom: 557
Magnetization in μB per formula unit: 0.0
DOS(E_F) in states/eV/f.u.: 1.74